# KBe4Cr

A relaxed structure of KBe4Cr (PBE, the Alexandria database).

Results
SG: No. 216
Calculated total energy: -20.73 eV per formula unit
Magnetic moment: 4.52 μB/f.u.

Cell lengths 4.894, 4.894, 4.894 Å; angles 60.00, 60.00, 60.00 degrees
Fractional positions:
Be  0.384  0.384  0.384
Be  0.384  0.849  0.384
K  0.000  0.000  0.000
Be  0.849  0.384  0.384
Be  0.384  0.384  0.849
Cr  0.750  0.750  0.750